Entry from the Alexandria database: K2V3P4O17 after structural relaxation (PBE with a Hubbard U).

The value obtained for the energy is -7.198 eV/atom.

CIF file:
```
data_K2V3P4O17
_cell_length_a 9.417
_cell_length_b 5.042
_cell_length_c 19.122
_cell_angle_alpha 90.00
_cell_angle_beta 117.03
_cell_angle_gamma 90.00
_space_group_name_H-M_alt 'P 1 c 1'
_space_group_IT_number 7
loop_
_space_group_symop_operation_xyz
'x,y,z'
'x,-y,z+1/2'
loop_
_atom_site_label
_atom_site_type_symbol
_atom_site_fract_x
_atom_site_fract_y
_atom_site_fract_z
_atom_site_occupancy
K1 K 0.000 0.209 0.000 1
K2 K 0.657 0.217 0.659 1
V1 V 0.174 0.290 0.677 1
V2 V 0.470 0.304 0.983 1
V3 V 0.822 0.307 0.330 1
P1 P 0.025 0.219 0.234 1
P2 P 0.204 0.211 0.406 1
P3 P 0.440 0.194 0.254 1
P4 P 0.619 0.188 0.427 1
O1 O 0.035 0.024 0.176 1
O2 O 0.041 0.196 0.407 1
O3 O 0.044 0.491 0.715 1
O4 O 0.108 0.298 0.582 1
O5 O 0.172 0.141 0.318 1
O6 O 0.271 0.493 0.425 1
O7 O 0.319 0.005 0.459 1
O8 O 0.324 0.400 0.202 1
O9 O 0.372 0.088 0.736 1
O10 O 0.474 0.268 0.343 1
O11 O 0.538 0.295 0.079 1
O12 O 0.601 0.103 0.945 1
O13 O 0.602 0.198 0.253 1
O14 O 0.606 0.380 0.485 1
O15 O 0.774 0.214 0.419 1
O16 O 0.824 0.368 0.828 1
O17 O 0.871 0.190 0.243 1
```